(i)
Below is an optimized crystal structure of SrRuS2N, with properties calculated at the GGA-PBE level.

Summary:
Its theoretical density is 4.8 Mg/m³. The value obtained for the total magnetization is 0.6 μB per cell.

Unit cell a=4.9800 b=4.9800 c=3.7385 alpha=90.00 beta=90.00 gamma=90.00
Each line ends with the local moment (μB).
Atoms (fractional coordinates):
Ru 0.0000 0.0000 0.0000  0.42
S 0.0000 0.5000 0.0000  0.04
S 0.5000 0.0000 0.0000  0.04
N 0.0000 0.0000 0.5000  0.00
Sr 0.5000 0.5000 0.5000  0.01

---

(ii)
Below is an optimized crystal structure of SrRuS2N, with properties calculated at the GGA-PBE level.

Summary:
Its theoretical density is 3.1 Mg/m³. The value obtained for the total magnetization is 6.9 μB per cell.

Unit cell a=5.5083 b=5.5083 c=4.6880 alpha=90.00 beta=90.00 gamma=90.00
Each line ends with the local moment (μB).
Atoms (fractional coordinates):
Ru 0.5000 0.5000 0.5000  3.06
S 0.0000 0.5000 0.0000  0.40
S 0.5000 0.0000 0.0000  0.40
N 0.0000 0.0000 0.5000  1.50
Sr 0.0000 0.0000 0.0000  0.06

---

Top of the stability list: (i), leading by 203.0 kJ/mol of atoms.